An optimized crystal structure of Dy7Ho2Tm3, computed with PBE.

Fermi-level density of states = 19.16 states/eV/cell
Energy above the most stable polymorph in this dataset = 1.926 eV per formula unit
ρ = 8241 kg/m3
Energy of formation from the pure elements = 316 meV/atom

abc: 5.4261 6.1494 11.9226
angles: 90.93 90.00 90.00
Fractional coordinates of all 12 atoms:
Dy (0.5000, 0.2376, 0.4549)
Dy (0.5000, 0.7624, 0.5451)
Dy (0.0000, 0.4380, 0.1800)
Dy (0.0000, 0.0000, 0.0000)
Dy (0.0000, 0.5620, 0.8200)
Dy (0.5000, 0.9115, 0.8309)
Dy (0.5000, 0.0885, 0.1691)
Ho (0.5000, 0.6067, 0.2775)
Ho (0.5000, 0.3933, 0.7225)
Tm (0.5000, 0.5000, 0.0000)
Tm (0.0000, 0.9438, 0.3414)
Tm (0.0000, 0.0562, 0.6586)

=====

An optimized crystal structure of Dy8Ho3Tm3, computed with PBE.

Fermi-level density of states = 19.85 states/eV/cell
Energy above the most stable polymorph in this dataset = 0.066 eV per formula unit
ρ = 8731 kg/m3
Energy of formation from the pure elements = 121 meV/atom

abc: 5.5530 9.5281 9.5281
angles: 101.76 73.06 73.06
Fractional coordinates of all 14 atoms:
Dy (0.6583, 0.1191, 0.5643)
Dy (0.3417, 0.8809, 0.4357)
Dy (0.6583, 0.5643, 0.1191)
Dy (0.3417, 0.4357, 0.8809)
Dy (0.8404, 0.7633, 0.5558)
Dy (0.1596, 0.2367, 0.4442)
Dy (0.8404, 0.5558, 0.7633)
Dy (0.1596, 0.4442, 0.2367)
Ho (0.5000, 0.5000, 0.5000)
Ho (0.7996, 0.2004, 0.2004)
Ho (0.2004, 0.7996, 0.7996)
Tm (0.5000, 0.0000, 0.0000)
Tm (0.0000, 0.8183, 0.1817)
Tm (0.0000, 0.1817, 0.8183)

=====

An optimized crystal structure of Dy7Ho6Tm16, computed with PBE.

Fermi-level density of states = 63.68 states/eV/cell
ρ = 8586 kg/m3
Energy of formation from the pure elements = 260 meV/atom

abc: 10.9726 10.9726 10.9726
angles: 60.00 60.00 60.00
Fractional coordinates of all 29 atoms:
Dy (0.0000, 0.0000, 0.0000)
Dy (0.5000, 0.0000, 0.5000)
Dy (0.0000, 0.5000, 0.0000)
Dy (0.0000, 0.5000, 0.5000)
Dy (0.5000, 0.0000, 0.0000)
Dy (0.0000, 0.0000, 0.5000)
Dy (0.5000, 0.5000, 0.0000)
Ho (0.2749, 0.7251, 0.2749)
Ho (0.7251, 0.2749, 0.7251)
Ho (0.7251, 0.2749, 0.2749)
Ho (0.2749, 0.7251, 0.7251)
Ho (0.7251, 0.7251, 0.2749)
Ho (0.2749, 0.2749, 0.7251)
Tm (0.8762, 0.8762, 0.3713)
Tm (0.8762, 0.8762, 0.8762)
Tm (0.8762, 0.3713, 0.8762)
Tm (0.3713, 0.8762, 0.8762)
Tm (0.1238, 0.1238, 0.1238)
Tm (0.1238, 0.1238, 0.6287)
Tm (0.1238, 0.6287, 0.1238)
Tm (0.6287, 0.1238, 0.1238)
Tm (0.6515, 0.6515, 0.0454)
Tm (0.6515, 0.6515, 0.6515)
Tm (0.6515, 0.0454, 0.6515)
Tm (0.0454, 0.6515, 0.6515)
Tm (0.3485, 0.3485, 0.3485)
Tm (0.3485, 0.3485, 0.9546)
Tm (0.3485, 0.9546, 0.3485)
Tm (0.9546, 0.3485, 0.3485)

=====

An optimized crystal structure of Dy12HoTm2, computed with PBE.

Fermi-level density of states = 49.55 states/eV/cell
ρ = 8553 kg/m3
Energy of formation from the pure elements = 120 meV/atom

abc: 6.5901 6.5901 24.7535
angles: 83.31 96.69 65.15
Fractional coordinates of all 30 atoms:
Dy (0.6007, 0.3993, 0.7987)
Dy (0.1007, 0.8993, 0.7987)
Dy (0.8993, 0.6007, 0.8625)
Dy (0.4464, 0.5536, 0.9263)
Dy (0.9947, 0.0053, 0.3292)
Dy (0.0536, 0.9464, 0.0737)
Dy (0.6683, 0.3316, 0.5555)
Dy (0.4947, 0.5053, 0.3292)
Dy (0.3992, 0.1008, 0.8625)
Dy (0.6007, 0.8993, 0.1375)
Dy (0.1839, 0.3161, 0.5760)
Dy (0.8317, 0.1684, 0.4445)
Dy (0.0053, 0.9947, 0.6708)
Dy (0.3161, 0.1839, 0.4240)
Dy (0.1008, 0.3992, 0.1375)
Dy (0.8161, 0.6839, 0.4240)
Dy (0.6839, 0.8161, 0.5760)
Dy (0.8993, 0.1007, 0.2013)
Dy (0.1684, 0.8317, 0.5555)
Dy (0.5053, 0.4947, 0.6708)
Dy (0.9464, 0.0536, 0.9263)
Dy (0.3993, 0.6007, 0.2013)
Dy (0.3316, 0.6683, 0.4445)
Dy (0.5536, 0.4464, 0.0737)
Ho (0.5000, 0.0000, 0.0000)
Ho (0.0000, 0.5000, 0.0000)
Tm (0.4511, 0.0489, 0.2707)
Tm (0.9511, 0.5489, 0.2707)
Tm (0.0489, 0.4511, 0.7293)
Tm (0.5489, 0.9511, 0.7293)

=====

An optimized crystal structure of Dy7Ho3Tm, computed with PBE.

Fermi-level density of states = 15.92 states/eV/cell
Energy above the most stable polymorph in this dataset = 1.427 eV per formula unit
ρ = 8457 kg/m3
Energy of formation from the pure elements = 275 meV/atom

abc: 5.7530 8.3536 8.3536
angles: 83.10 110.18 110.18
Last column: magnetic moment on the atom in μB.
Fractional coordinates of all 11 atoms:
Dy (0.2098, 0.2085, 0.2085)  0.01
Dy (0.3033, 0.0082, 0.5990)  0.01
Dy (0.6967, 0.4010, 0.9918)  0.01
Dy (0.3033, 0.5990, 0.0082)  0.01
Dy (0.0000, 0.5000, 0.5000)  0.14
Dy (0.6967, 0.9918, 0.4010)  0.01
Dy (0.7902, 0.7915, 0.7915)  0.01
Ho (0.0000, 0.7931, 0.2069)  0.01
Ho (0.5000, 0.0000, 0.0000)  0.00
Ho (0.0000, 0.2069, 0.7931)  0.01
Tm (0.5000, 0.5000, 0.5000)  0.16

=====

An optimized crystal structure of Dy5Ho3Tm12, computed with PBE.

Fermi-level density of states = 145.44 states/eV/cell
ρ = 6805 kg/m3
Energy of formation from the pure elements = 1073 meV/atom

abc: 16.1701 16.1701 16.1701
angles: 109.47 109.47 109.47
Fractional coordinates of all 80 atoms:
Ho (0.7500, 0.3750, 0.1250)
Ho (0.8750, 0.7500, 0.1250)
Ho (0.3750, 0.7500, 0.6250)
Ho (0.2500, 0.1250, 0.3750)
Ho (0.8750, 0.1250, 0.2500)
Ho (0.3750, 0.6250, 0.2500)
Ho (0.6250, 0.3750, 0.7500)
Ho (0.1250, 0.8750, 0.7500)
Ho (0.7500, 0.8750, 0.6250)
Ho (0.6250, 0.2500, 0.3750)
Ho (0.1250, 0.2500, 0.8750)
Ho (0.2500, 0.6250, 0.8750)
Dy (0.1250, 0.3750, 0.2500)
Dy (0.0000, 0.5000, 0.0000)
Dy (0.0000, 0.0000, 0.0000)
Dy (0.3750, 0.2500, 0.1250)
Dy (0.5000, 0.0000, 0.5000)
Dy (0.5000, 0.5000, 0.0000)
Dy (0.1250, 0.7500, 0.3750)
Dy (0.7500, 0.1250, 0.8750)
Dy (0.7500, 0.6250, 0.3750)
Dy (0.3750, 0.1250, 0.7500)
Dy (0.6250, 0.8750, 0.2500)
Dy (0.5000, 0.5000, 0.5000)
Dy (0.5000, 0.0000, 0.0000)
Dy (0.0000, 0.0000, 0.5000)
Dy (0.2500, 0.3750, 0.6250)
Dy (0.2500, 0.8750, 0.1250)
Dy (0.0000, 0.5000, 0.5000)
Dy (0.8750, 0.2500, 0.6250)
Dy (0.6250, 0.7500, 0.8750)
Dy (0.8750, 0.6250, 0.7500)
Tm (0.7271, 0.1428, 0.0765)
Tm (0.3493, 0.5765, 0.4337)
Tm (0.9235, 0.3572, 0.2729)
Tm (0.5765, 0.2271, 0.1428)
Tm (0.5844, 0.7271, 0.6507)
Tm (0.9235, 0.5663, 0.1507)
Tm (0.3493, 0.7729, 0.4156)
Tm (0.0663, 0.9156, 0.1428)
Tm (0.5663, 0.9235, 0.6507)
Tm (0.7271, 0.5844, 0.1507)
Tm (0.7729, 0.4235, 0.3572)
Tm (0.8493, 0.9337, 0.0765)
Tm (0.1428, 0.7271, 0.5765)
Tm (0.3572, 0.4337, 0.0844)
Tm (0.0844, 0.9337, 0.3572)
Tm (0.4156, 0.1428, 0.5663)
Tm (0.0844, 0.1507, 0.2271)
Tm (0.4235, 0.6507, 0.0663)
Tm (0.8493, 0.9156, 0.2729)
Tm (0.1428, 0.4156, 0.0663)
Tm (0.3572, 0.9235, 0.7729)
Tm (0.5663, 0.6428, 0.4156)
Tm (0.9337, 0.8493, 0.5765)
Tm (0.7729, 0.3493, 0.9156)
Tm (0.4337, 0.3572, 0.5844)
Tm (0.0663, 0.1507, 0.4235)
Tm (0.2271, 0.6507, 0.0844)
Tm (0.1507, 0.0844, 0.7271)
Tm (0.6428, 0.0765, 0.2271)
Tm (0.8572, 0.5844, 0.9337)
Tm (0.5765, 0.3493, 0.9337)
Tm (0.5844, 0.8572, 0.4337)
Tm (0.9156, 0.8493, 0.7729)
Tm (0.9156, 0.0663, 0.6428)
Tm (0.8572, 0.2729, 0.4235)
Tm (0.1507, 0.0663, 0.9235)
Tm (0.6428, 0.5663, 0.9156)
Tm (0.4337, 0.0765, 0.3493)
Tm (0.2729, 0.4156, 0.8493)
Tm (0.2271, 0.5765, 0.6428)
Tm (0.9337, 0.0844, 0.8572)
Tm (0.6507, 0.2271, 0.5844)
Tm (0.4235, 0.7729, 0.8572)
Tm (0.0765, 0.4337, 0.8493)
Tm (0.4156, 0.2729, 0.3493)
Tm (0.0765, 0.6428, 0.7271)
Tm (0.6507, 0.4235, 0.5663)
Tm (0.2729, 0.8572, 0.9235)

=====

An optimized crystal structure of Dy4HoTm5, computed with PBE.

Fermi-level density of states = 17.68 states/eV/cell
Energy above the most stable polymorph in this dataset = 0.000 eV per formula unit
ρ = 8929 kg/m3
Energy of formation from the pure elements = 58 meV/atom

abc: 3.5172 6.6990 14.1442
angles: 93.66 103.88 105.61
Fractional coordinates of all 10 atoms:
Dy (0.3667, 0.8251, 0.2130)
Dy (0.8856, 0.7058, 0.8072)
Dy (0.6333, 0.1749, 0.7870)
Dy (0.1144, 0.2942, 0.1928)
Ho (0.5000, 0.0000, 0.0000)
Tm (0.9333, 0.5807, 0.3863)
Tm (0.2300, 0.1248, 0.4164)
Tm (0.7700, 0.8752, 0.5836)
Tm (0.5000, 0.5000, 0.0000)
Tm (0.0667, 0.4193, 0.6137)

=====

An optimized crystal structure of Dy4HoTm15, computed with PBE.

Fermi-level density of states = 26.77 states/eV/cell
ρ = 9226 kg/m3
Energy of formation from the pure elements = 25 meV/atom

abc: 4.9402 4.9402 24.6969
angles: 90.00 90.00 90.00
Fractional coordinates of all 20 atoms:
Dy (0.0000, 0.0000, 0.2001)
Dy (0.0000, 0.0000, 0.4001)
Dy (0.0000, 0.0000, 0.5999)
Dy (0.0000, 0.0000, 0.7999)
Ho (0.0000, 0.0000, 0.0000)
Tm (0.5000, 0.5000, 0.0000)
Tm (0.5000, 0.5000, 0.2000)
Tm (0.5000, 0.5000, 0.4001)
Tm (0.5000, 0.5000, 0.5999)
Tm (0.5000, 0.5000, 0.8000)
Tm (0.5000, 0.0000, 0.0999)
Tm (0.5000, 0.0000, 0.3001)
Tm (0.5000, 0.0000, 0.5000)
Tm (0.5000, 0.0000, 0.6999)
Tm (0.5000, 0.0000, 0.9001)
Tm (0.0000, 0.5000, 0.0999)
Tm (0.0000, 0.5000, 0.3001)
Tm (0.0000, 0.5000, 0.5000)
Tm (0.0000, 0.5000, 0.6999)
Tm (0.0000, 0.5000, 0.9001)

=====

An optimized crystal structure of Dy3Ho3Tm4, computed with PBE.

Fermi-level density of states = 7.96 states/eV/cell
ρ = 8872 kg/m3
Energy of formation from the pure elements = 92 meV/atom

abc: 3.6290 9.2472 9.2472
angles: 90.02 90.00 90.00
Fractional coordinates of all 10 atoms:
Dy (0.5000, 0.8270, 0.1730)
Dy (0.5000, 0.3268, 0.3270)
Dy (0.5000, 0.6730, 0.6732)
Ho (0.0000, 0.4994, 0.9997)
Ho (0.0000, 0.0003, 0.5006)
Ho (0.5000, 0.1731, 0.8269)
Tm (0.0000, 0.6250, 0.3750)
Tm (0.0000, 0.3748, 0.6252)
Tm (0.0000, 0.8753, 0.8748)
Tm (0.0000, 0.1252, 0.1247)

=====

An optimized crystal structure of Dy3Ho6Tm2, computed with PBE.

Fermi-level density of states = 15.24 states/eV/cell
Energy above the most stable polymorph in this dataset = 0.000 eV per formula unit
ρ = 8939 kg/m3
Energy of formation from the pure elements = 22 meV/atom

abc: 3.5168 3.5168 31.5414
angles: 86.80 86.80 60.00
Fractional coordinates of all 11 atoms:
Dy (0.0000, 0.0000, 0.0000)
Dy (0.7275, 0.7275, 0.8174)
Dy (0.2725, 0.2725, 0.1826)
Ho (0.9087, 0.9087, 0.2740)
Ho (0.0913, 0.0913, 0.7260)
Ho (0.8181, 0.8181, 0.5456)
Ho (0.1819, 0.1819, 0.4544)
Ho (0.6362, 0.6362, 0.0913)
Ho (0.3638, 0.3638, 0.9087)
Tm (0.5453, 0.5453, 0.3642)
Tm (0.4547, 0.4547, 0.6358)

=====

An optimized crystal structure of Dy2HoTm6, computed with PBE.

Fermi-level density of states = 21.52 states/eV/cell
Energy above the most stable polymorph in this dataset = 0.743 eV per formula unit
ρ = 9051 kg/m3
Energy of formation from the pure elements = 108 meV/atom

abc: 6.4427 9.4114 9.4114
angles: 95.92 80.94 80.94
Fractional coordinates of all 18 atoms:
Dy (0.1294, 0.6170, 0.6655)
Dy (0.3706, 0.3345, 0.3830)
Dy (0.8706, 0.3830, 0.3345)
Dy (0.6294, 0.6655, 0.6170)
Ho (0.2500, 0.1193, 0.8807)
Ho (0.7500, 0.8807, 0.1193)
Tm (0.5026, 0.6499, 0.2775)
Tm (0.9974, 0.7225, 0.3501)
Tm (0.4974, 0.3501, 0.7225)
Tm (0.0026, 0.2775, 0.6499)
Tm (0.7296, 0.0603, 0.4607)
Tm (0.7704, 0.5393, 0.9397)
Tm (0.2704, 0.9397, 0.5393)
Tm (0.2296, 0.4607, 0.0603)
Tm (0.3149, 0.7782, 0.9537)
Tm (0.1851, 0.0463, 0.2218)
Tm (0.6851, 0.2218, 0.0463)
Tm (0.8149, 0.9537, 0.7782)

=====

An optimized crystal structure of Dy12Ho6Tm, computed with PBE.

Fermi-level density of states = 32.78 states/eV/cell
Energy above the most stable polymorph in this dataset = 0.000 eV per formula unit
ρ = 8526 kg/m3
Energy of formation from the pure elements = 156 meV/atom

abc: 8.4630 8.4630 8.4630
angles: 88.40 88.40 88.40
Fractional coordinates of all 19 atoms:
Dy (0.7756, 0.5419, 0.4351)
Dy (0.4351, 0.7756, 0.5419)
Dy (0.5419, 0.4351, 0.7756)
Dy (0.2244, 0.4581, 0.5649)
Dy (0.5649, 0.2244, 0.4581)
Dy (0.4581, 0.5649, 0.2244)
Dy (0.0120, 0.2031, 0.3574)
Dy (0.7969, 0.6426, 0.9880)
Dy (0.6426, 0.9880, 0.7969)
Dy (0.9880, 0.7969, 0.6426)
Dy (0.2031, 0.3574, 0.0120)
Dy (0.3574, 0.0120, 0.2031)
Ho (0.7422, 0.9065, 0.3068)
Ho (0.6932, 0.2578, 0.0935)
Ho (0.0935, 0.6932, 0.2578)
Ho (0.2578, 0.0935, 0.6932)
Ho (0.3068, 0.7422, 0.9065)
Ho (0.9065, 0.3068, 0.7422)
Tm (0.0000, 0.0000, 0.0000)

=====

An optimized crystal structure of Dy3Ho2Tm5, computed with PBE.

Fermi-level density of states = 30.85 states/eV/cell
Energy above the most stable polymorph in this dataset = 1.539 eV per formula unit
ρ = 8429 kg/m3
Energy of formation from the pure elements = 358 meV/atom

abc: 6.1761 10.9475 10.9475
angles: 100.05 73.62 73.62
Fractional coordinates of all 20 atoms:
Dy (0.2500, 0.0000, 0.0000)
Dy (0.7500, 0.0000, 0.0000)
Dy (0.3410, 0.4081, 0.9099)
Dy (0.6590, 0.5919, 0.0901)
Dy (0.8410, 0.9099, 0.4081)
Dy (0.1590, 0.0901, 0.5919)
Ho (0.1008, 0.7428, 0.0555)
Ho (0.8992, 0.2572, 0.9445)
Ho (0.6008, 0.0555, 0.7428)
Ho (0.3992, 0.9445, 0.2572)
Tm (0.2500, 0.5000, 0.5000)
Tm (0.7500, 0.5000, 0.5000)
Tm (0.5015, 0.7485, 0.7485)
Tm (0.9985, 0.2515, 0.2515)
Tm (0.4985, 0.2515, 0.2515)
Tm (0.0015, 0.7485, 0.7485)
Tm (0.0983, 0.5576, 0.2457)
Tm (0.9017, 0.4424, 0.7543)
Tm (0.5983, 0.2457, 0.5576)
Tm (0.4017, 0.7543, 0.4424)

=====

An optimized crystal structure of Dy9Ho3Tm2, computed with PBE.

Fermi-level density of states = 21.99 states/eV/cell
ρ = 8644 kg/m3
Energy of formation from the pure elements = 110 meV/atom

abc: 5.5467 11.6178 13.9060
angles: 46.03 53.24 44.26
Fractional coordinates of all 14 atoms:
Dy (0.0977, 0.3474, 0.5875)
Dy (0.6084, 0.8427, 0.7517)
Dy (0.4742, 0.1517, 0.1988)
Dy (0.1886, 0.6216, 0.2527)
Dy (0.5720, 0.4547, 0.8307)
Dy (0.2258, 0.6280, 0.5549)
Dy (0.8588, 0.3606, 0.4002)
Dy (0.8673, 0.3923, 0.0296)
Dy (0.9724, 0.6612, 0.0239)
Ho (0.0594, 0.9898, 0.9705)
Ho (0.7185, 0.1298, 0.3912)
Ho (0.3523, 0.8776, 0.5542)
Tm (0.6472, 0.1343, 0.7674)
Tm (0.3574, 0.9085, 0.1866)

=====

An optimized crystal structure of Dy2HoTm, computed with PBE.

Fermi-level density of states = 5.85 states/eV/cell
Energy above the most stable polymorph in this dataset = 0.032 eV per formula unit
ρ = 8867 kg/m3
Energy of formation from the pure elements = 10 meV/atom

abc: 3.5455 3.5455 11.5174
angles: 81.15 81.15 60.00
Fractional coordinates of all 4 atoms:
Dy (0.0832, 0.0832, 0.7504)
Dy (0.2500, 0.2500, 0.2501)
Ho (0.5003, 0.5003, 0.4991)
Tm (0.6665, 0.6665, 0.0004)